Record 1
# PmBe3IrRh PBE optimized geometry
data_PmBe3IrRh
_chemical_formula_sum 'Pm4 Be12 Ir4 Rh4'
_space_group_name_H-M_alt 'C m c m'
_space_group_IT_number 63
_space_group_name_Hall '-C 2c 2'
_cell_length_a 5.793
_cell_length_b 11.346
_cell_length_c 5.412
_cell_angle_alpha 90.00
_cell_angle_beta 90.00
_cell_angle_gamma 90.00
loop_
_atom_site_label
_atom_site_type_symbol
_atom_site_fract_x
_atom_site_fract_y
_atom_site_fract_z
Pm1 Pm 0.000 0.216 0.250
Be1 Be 0.000 0.347 0.750
Be2 Be 0.199 0.000 0.000
Ir1 Ir 0.000 0.461 0.250
Rh1 Rh 0.000 0.134 0.750
# - density of states at the Fermi level (states/eV per cell) = 8.9
# - DFT total energy (eV/atom) = -5.72
# - DFT formation energy (meV/atom) = -364

Record 2
# Co2IrPd PBE optimized geometry
data_Co2IrPd
_chemical_formula_sum 'Co2 Ir1 Pd1'
_space_group_name_H-M_alt 'P 4/m m m'
_space_group_IT_number 123
_space_group_name_Hall '-P 4 2'
_cell_length_a 3.811
_cell_length_b 3.811
_cell_length_c 3.631
_cell_angle_alpha 90.00
_cell_angle_beta 90.00
_cell_angle_gamma 90.00
loop_
_atom_site_label
_atom_site_type_symbol
_atom_site_fract_x
_atom_site_fract_y
_atom_site_fract_z
Co1 Co 0.000 0.500 0.000
Ir1 Ir 0.000 0.000 0.500
Pd1 Pd 0.500 0.500 0.500
# - density of states at the Fermi level (states/eV per cell) = 6.0
# - DFT total energy (eV/atom) = -6.95
# - DFT formation energy (meV/atom) = 120

Record 3
# YbZnSn PBE optimized geometry
data_YbZnSn
_chemical_formula_sum 'Yb2 Zn2 Sn2'
_space_group_name_H-M_alt 'P 63 m c'
_space_group_IT_number 186
_space_group_name_Hall 'P 6c -2c'
_cell_length_a 4.6838
_cell_length_b 4.6838
_cell_length_c 7.3910
_cell_angle_alpha 90.00
_cell_angle_beta 90.00
_cell_angle_gamma 120.00
loop_
_atom_site_label
_atom_site_type_symbol
_atom_site_fract_x
_atom_site_fract_y
_atom_site_fract_z
Yb1 Yb 0.0000 0.0000 0.0000
Zn1 Zn 0.3333 0.6667 0.3091
Sn1 Sn 0.3333 0.6667 0.7244
# - density of states at the Fermi level (states/eV per cell) = 28.8
# - DFT total energy (eV/atom) = -2.81
# - DFT formation energy (meV/atom) = -547

Record 4
# ScHgBr PBE optimized geometry
data_ScHgBr
_chemical_formula_sum 'Sc4 Hg4 Br4'
_space_group_name_H-M_alt 'F -4 3 m'
_space_group_IT_number 216
_space_group_name_Hall 'F -4 2 3'
_cell_length_a 6.909
_cell_length_b 6.909
_cell_length_c 6.909
_cell_angle_alpha 90.00
_cell_angle_beta 90.00
_cell_angle_gamma 90.00
loop_
_atom_site_label
_atom_site_type_symbol
_atom_site_fract_x
_atom_site_fract_y
_atom_site_fract_z
Sc1 Sc 0.000 0.000 0.000
Hg1 Hg 0.250 0.250 0.250
Br1 Br 0.250 0.250 0.750
# - density of states at the Fermi level (states/eV per cell) = 14.2
# - formation energy without anion corrections (eV/f.u.) = -0.87
# - DFT total energy (eV/atom) = -3.06

Record 5
# Tb PBE optimized geometry
data_Tb
_chemical_formula_sum 'Tb6'
_space_group_name_H-M_alt 'P 63/m m c'
_space_group_IT_number 194
_space_group_name_Hall '-P 6c 2c'
_cell_length_a 3.5688
_cell_length_b 3.5688
_cell_length_c 17.2837
_cell_angle_alpha 90.00
_cell_angle_beta 90.00
_cell_angle_gamma 120.00
loop_
_atom_site_label
_atom_site_type_symbol
_atom_site_fract_x
_atom_site_fract_y
_atom_site_fract_z
Tb1 Tb 0.0000 0.0000 0.2500
Tb2 Tb 0.3333 0.6667 0.0837
# - density of states at the Fermi level (states/eV per cell) = 8.3
# - DFT total energy (eV/atom) = -4.62
# - DFT formation energy (meV/atom) = 7

Record 6
# Ti5CoIr2Pt2 PBE optimized geometry
data_Ti5CoIr2Pt2
_chemical_formula_sum 'Ti10 Co2 Ir4 Pt4'
_space_group_name_H-M_alt 'P 4/m b m'
_space_group_IT_number 127
_space_group_name_Hall '-P 4 2ab'
_cell_length_a 10.599
_cell_length_b 10.599
_cell_length_c 2.882
_cell_angle_alpha 90.00
_cell_angle_beta 90.00
_cell_angle_gamma 90.00
loop_
_atom_site_label
_atom_site_type_symbol
_atom_site_fract_x
_atom_site_fract_y
_atom_site_fract_z
Ti1 Ti 0.000 0.500 0.000
Ti2 Ti 0.131 0.151 0.000
Co1 Co 0.000 0.000 0.500
Ir1 Ir 0.147 0.353 0.500
Pt1 Pt 0.153 0.653 0.500
# - density of states at the Fermi level (states/eV per cell) = 13.5
# - DFT total energy (eV/atom) = -8.18
# - DFT formation energy (meV/atom) = -543

Question: Which value of DFT total energy does entry 4 give?
Answer: -3.06 eV/atom